Record 1
Computed, not measured: YCr2In after structural relaxation at the GGA-PBE level of DFT.

The structure in POSCAR format:
```
YCr2In
1.0
4.814 0.000 0.000
0.000 3.352 -0.044
0.000 0.085 5.321
In Y Cr
1 1 2
direct
0.500 0.250 0.250
0.500 0.750 0.750
0.000 0.255 0.575
0.000 0.245 0.925
```

Calculated values
Space group = No. 10
ΔE_f = 0.519 eV per atom
Crystal system = monoclinic

=====

Record 2
Computed, not measured: YZn2SiOs after structural relaxation at the GGA-PBE level of DFT.

The structure in POSCAR format:
```
YZn2SiOs
1.0
-1.685 -4.762 -1.115
4.697 -1.236 -1.820
1.405 -1.601 4.714
Y Si Zn Os
1 1 2 1
direct
0.000 0.000 0.000
0.000 0.500 0.000
0.000 0.000 0.500
0.500 0.000 0.000
0.500 0.500 0.500
```

Calculated values
Space group = No. 123
Formation energy without anion corrections = 2032 meV per atom
Crystal system = tetragonal

=====

Record 3
Computed, not measured: Hf2InGaAs after structural relaxation at the GGA-PBE level of DFT.

The structure in POSCAR format:
```
Hf2InGaAs
1.0
-2.815 -1.756 3.850
2.481 -4.063 -0.039
3.300 1.984 3.318
Hf In Ga As
2 1 1 1
direct
0.000 0.000 0.500
0.500 0.000 0.000
0.000 0.500 0.000
0.000 0.000 0.000
0.500 0.500 0.500
```

Calculated values
Space group = No. 123
ΔE_f = 0.659 eV per atom
Crystal system = tetragonal

=====

Record 4
Computed, not measured: Pm2DyZn2 after structural relaxation at the GGA-PBE level of DFT.

The structure in POSCAR format:
```
Pm2DyZn2
1.0
4.400 0.000 0.000
0.000 4.551 -0.245
0.000 -1.624 13.359
Pm Zn Dy
4 4 2
direct
0.250 0.264 0.528
0.750 0.057 0.111
0.750 0.736 0.472
0.250 0.943 0.889
0.750 0.475 0.950
0.250 0.835 0.667
0.250 0.525 0.050
0.750 0.165 0.333
0.750 0.364 0.729
0.250 0.636 0.271
```

Calculated values
Space group = No. 11
ΔE_f = -0.146 eV per atom
Crystal system = monoclinic

=====

Record 5
Computed, not measured: CaLa3Ru after structural relaxation at the GGA-PBE level of DFT.

The structure in POSCAR format:
```
CaLa3Ru
1.0
-0.622 8.622 -2.062
-3.906 -0.842 5.794
2.966 3.243 5.226
La Ru Ca
6 2 2
direct
0.120 0.028 0.682
0.622 0.800 0.915
0.117 0.524 0.168
0.361 0.145 0.046
0.358 0.646 0.563
0.856 0.918 0.298
0.384 0.899 0.799
0.094 0.254 0.944
0.857 0.416 0.786
0.621 0.298 0.404
```

Calculated values
Space group = No. 9
ΔE_f = -0.151 eV per atom
Crystal system = monoclinic

=====

Record 6
Computed, not measured: Ir2WSe after structural relaxation at the GGA-PBE level of DFT.

The structure in POSCAR format:
```
Ir2WSe
1.0
-6.258 5.611 -2.530
-7.079 5.186 0.202
-5.064 7.158 -0.409
Se Ir W
1 2 1
direct
0.501 0.501 0.501
0.247 0.247 0.247
0.002 0.002 0.002
0.750 0.750 0.750
```

Calculated values
Space group = No. 160
Formation energy without anion corrections = 299 meV per atom
Crystal system = trigonal

=====

Ρ for the records above, in order: 5.9, 5.2, 8.3, 7.3, 5.2, 17.3 g/cm3
DOS(E_F) for the records above, in order: 4.07, 5.44, 6.60, 6.25, 7.23, 4.41 states/eV/f.u.